VASP calculation (GGA-PBEsol) on crystalline ZrMoSe2 at its relaxed geometry.

a = 5.9094 Å, b = 5.9094 Å, c = 5.9094 Å
α = 143.82°, β = 143.82°, γ = 52.10°
Closest atoms and distances in Å follow each position.
Element x y z (fractional)
1 Zr 0.0000 0.0000 0.0000  4 Se 2.59
2 Mo 0.7500 0.2500 0.5000  4 Se 2.59
3 Se 0.2500 0.7500 0.5000  4 Mo 2.59
4 Se 0.5000 0.5000 0.0000  4 Zr 2.59

## Properties
The calculation puts the formation energy without anion corrections at -0.239 eV per atom. Its space-group type is I-4m2, No. 119. The calculation puts the energy above the most stable polymorph in this dataset at 0.3762 eV/atom. The energy is -7.378 eV/atom.

---

VASP calculation (GGA-PBEsol) on crystalline CsSr2ScP at its relaxed geometry.

a = 5.8834 Å, b = 5.8834 Å, c = 5.1075 Å
α = 90.00°, β = 90.00°, γ = 90.00°
Closest atoms and distances in Å follow each position.
Element x y z (fractional)
1 Cs 0.0000 0.0000 0.0000  2 Sc 2.55
2 Sr 0.0000 0.5000 0.0000  2 Cs 2.94
3 Sr 0.5000 0.0000 0.0000  2 Cs 2.94
4 Sc 0.0000 0.0000 0.5000  2 Cs 2.55
5 P 0.5000 0.5000 0.5000  8 Sr 3.90, 4 Sc 4.16

## Properties
Its space-group type is P4/mmm, No. 123. The energy is -2.157 eV/atom.

---

VASP calculation (GGA-PBEsol) on crystalline MoOsSCl2 at its relaxed geometry.

a = 4.8612 Å, b = 4.8612 Å, c = 4.3912 Å
α = 90.00°, β = 90.00°, γ = 90.00°
Closest atoms and distances in Å follow each position.
Element x y z (fractional)
1 Mo 0.0000 0.0000 0.0000  8 Cl 3.28, 4 S 3.44
2 Os 0.5000 0.5000 0.5000  2 S 2.20, 4 Cl 2.43
3 S 0.5000 0.5000 0.0000  2 Os 2.20
4 Cl 0.0000 0.5000 0.5000  2 Os 2.43
5 Cl 0.5000 0.0000 0.5000  2 Os 2.43

## Properties
The calculation puts the formation energy without anion corrections at 0.996 eV per atom. Its space-group type is P4/mmm, No. 123. The energy is -5.481 eV/atom.

---

Density of states at the Fermi level (states/eV/f.u.)
3.18, 4.90, 4.57